[1]
This record from the Alexandria database describes a relaxed structure of Pm3Y8Th2. The functional is PBE-GGA.

Unit cell a=7.4376 b=5.7794 c=10.9932 alpha=90.00 beta=109.70 gamma=90.00
Atoms (fractional coordinates):
Pm 0.0000 0.0000 0.0000
Pm 0.2809 0.5000 0.9998
Pm 0.7191 0.5000 0.0002
Y 0.1400 0.5000 0.2807
Y 0.1738 0.0000 0.7798
Y 0.3286 0.5000 0.6565
Y 0.3938 0.0000 0.2201
Y 0.6062 0.0000 0.7799
Y 0.6714 0.5000 0.3435
Y 0.8262 0.0000 0.2202
Y 0.8600 0.5000 0.7193
Th 0.2447 0.0000 0.4897
Th 0.7553 0.0000 0.5103

Fermi-level density of states, states/eV per cell: 24.35
Size of the total moment, μB per cell: 0.00
Total DFT energy (no corrections), eV per atom: -5.938
Theoretical density, g/cm3: 6.0
SG: P2/m, No. 10



[2]
This record from the Alexandria database describes a relaxed structure of Pm10YTh4. The functional is PBE-GGA.

Unit cell a=8.8076 b=8.8076 c=8.8076 alpha=111.95 beta=111.95 gamma=104.62
Atoms (fractional coordinates):
Pm 0.0416 0.3694 0.0935
Pm 0.0519 0.9584 0.3278
Pm 0.2500 0.7500 0.5000
Pm 0.2760 0.9481 0.9065
Pm 0.3694 0.2760 0.3278
Pm 0.6306 0.7240 0.6722
Pm 0.7240 0.0519 0.0935
Pm 0.7500 0.2500 0.5000
Pm 0.9481 0.0416 0.6722
Pm 0.9584 0.6306 0.9065
Y 0.5000 0.5000 0.0000
Th 0.1643 0.4404 0.6047
Th 0.4404 0.8357 0.2761
Th 0.5596 0.1643 0.7239
Th 0.8357 0.5596 0.3953

Fermi-level density of states, states/eV per cell: 23.87
Size of the total moment, μB per cell: 0.00
Total DFT energy (no corrections), eV per atom: -5.210
Theoretical density, g/cm3: 7.8
SG: I4/m, No. 87



[3]
This record from the Alexandria database describes a relaxed structure of Pm4Y8Th. The functional is PBE-GGA.

Unit cell a=7.8391 b=7.8391 c=7.8391 alpha=90.06 beta=90.06 gamma=90.06
Atoms (fractional coordinates):
Pm 0.0000 0.0000 0.0000
Pm 0.0000 0.5000 0.5000
Pm 0.5000 0.0000 0.5000
Pm 0.5000 0.5000 0.0000
Y 0.2413 0.2413 0.2413
Y 0.2410 0.2410 0.7583
Y 0.2410 0.7583 0.2410
Y 0.2417 0.7590 0.7590
Y 0.7583 0.2410 0.2410
Y 0.7590 0.2417 0.7590
Y 0.7590 0.7590 0.2417
Y 0.7587 0.7587 0.7587
Th 0.5000 0.5000 0.5000

Fermi-level density of states, states/eV per cell: 23.11
Size of the total moment, μB per cell: 2.21
Total DFT energy (no corrections), eV per atom: -5.497
Theoretical density, g/cm3: 5.3
SG: R-3m, No. 166



[4]
This record from the Alexandria database describes a relaxed structure of Pm8Y2Th. The functional is PBE-GGA.

Unit cell a=9.6055 b=9.6055 c=8.1282 alpha=104.73 beta=104.73 gamma=31.00
Atoms (fractional coordinates):
Pm 0.0449 0.0449 0.2338
Pm 0.1348 0.1348 0.6800
Pm 0.3199 0.3199 0.5905
Pm 0.4095 0.4095 0.0484
Pm 0.5905 0.5905 0.9516
Pm 0.6801 0.6801 0.4095
Pm 0.8652 0.8652 0.3200
Pm 0.9551 0.9551 0.7662
Y 0.2278 0.2278 0.1358
Y 0.7722 0.7722 0.8642
Th 0.5000 0.5000 0.5000

Fermi-level density of states, states/eV per cell: 16.54
Size of the total moment, μB per cell: 0.00
Total DFT energy (no corrections), eV per atom: -5.276
Theoretical density, g/cm3: 7.0
SG: C2/m, No. 12



[5]
This record from the Alexandria database describes a relaxed structure of PmY2Th. The functional is PBE-GGA.

Unit cell a=3.5923 b=3.5923 c=10.1777 alpha=90.00 beta=90.00 gamma=90.00
Atoms (fractional coordinates):
Pm 0.0000 0.0000 0.0000
Y 0.5000 0.5000 0.2581
Y 0.5000 0.5000 0.7419
Th 0.0000 0.0000 0.5000

Fermi-level density of states, states/eV per cell: 4.97
Size of the total moment, μB per cell: 0.00
Total DFT energy (no corrections), eV per atom: -6.252
Theoretical density, g/cm3: 7.0
SG: P4/mmm, No. 123



[6]
This record from the Alexandria database describes a relaxed structure of PmY6Th. The functional is PBE-GGA.

Unit cell a=6.5773 b=6.8224 c=6.8566 alpha=61.51 beta=79.38 gamma=89.60
Atoms (fractional coordinates):
Pm 0.0000 0.0000 0.0000
Y 0.2347 0.5749 0.5158
Y 0.2528 0.5446 0.0025
Y 0.2692 0.0901 0.4813
Y 0.7308 0.9099 0.5187
Y 0.7472 0.4554 0.9975
Y 0.7653 0.4251 0.4842
Th 0.5000 0.0000 0.0000

Fermi-level density of states, states/eV per cell: 16.16
Size of the total moment, μB per cell: 0.00
Total DFT energy (no corrections), eV per atom: -6.146
Theoretical density, g/cm3: 5.7
SG: P-1, No. 2



[7]
This record from the Alexandria database describes a relaxed structure of Pm2Y5Th4. The functional is PBE-GGA.

Unit cell a=9.0781 b=9.0781 c=6.5973 alpha=97.99 beta=97.99 gamma=43.45
Atoms (fractional coordinates):
Pm 0.1983 0.1983 0.3277
Pm 0.8017 0.8017 0.6723
Y 0.0000 0.0000 0.5000
Y 0.1734 0.6531 0.0949
Y 0.3469 0.8266 0.9051
Y 0.6531 0.1734 0.0949
Y 0.8266 0.3469 0.9051
Th 0.2493 0.2493 0.8411
Th 0.4083 0.4083 0.5923
Th 0.5917 0.5917 0.4077
Th 0.7507 0.7507 0.1589

Fermi-level density of states, states/eV per cell: 16.55
Size of the total moment, μB per cell: 0.00
Total DFT energy (no corrections), eV per atom: -6.301
Theoretical density, g/cm3: 7.5
SG: C2/m, No. 12



[8]
This record from the Alexandria database describes a relaxed structure of Pm5Y4Th. The functional is PBE-GGA.

Unit cell a=8.7598 b=8.7598 c=11.5943 alpha=108.24 beta=108.24 gamma=23.41
Atoms (fractional coordinates):
Pm 0.0000 0.0000 0.0000
Pm 0.2968 0.2968 0.3888
Pm 0.3097 0.3097 0.9179
Pm 0.6903 0.6903 0.0821
Pm 0.7032 0.7032 0.6112
Y 0.1051 0.1051 0.7981
Y 0.4169 0.4169 0.7028
Y 0.5831 0.5831 0.2972
Y 0.8949 0.8949 0.2019
Th 0.0000 0.0000 0.5000

Fermi-level density of states, states/eV per cell: 15.13
Size of the total moment, μB per cell: 0.00
Total DFT energy (no corrections), eV per atom: -5.660
Theoretical density, g/cm3: 6.5
SG: C2/m, No. 12



[9]
This record from the Alexandria database describes a relaxed structure of Pm4YTh. The functional is PBE-GGA.

Unit cell a=11.7114 b=12.0068 c=3.4509 alpha=90.00 beta=90.00 gamma=90.00
Atoms (fractional coordinates):
Pm 0.0000 0.2347 0.0000
Pm 0.0000 0.7653 0.0000
Pm 0.2366 0.5000 0.5000
Pm 0.2634 0.0000 0.5000
Pm 0.5000 0.2653 0.0000
Pm 0.5000 0.7347 0.0000
Pm 0.7366 0.0000 0.5000
Pm 0.7634 0.5000 0.5000
Y 0.0000 0.0000 0.5000
Y 0.5000 0.5000 0.5000
Th 0.0000 0.5000 0.0000
Th 0.5000 0.0000 0.0000

Fermi-level density of states, states/eV per cell: 21.44
Size of the total moment, μB per cell: 0.00
Total DFT energy (no corrections), eV per atom: -4.832
Theoretical density, g/cm3: 6.2
SG: Cmmm, No. 65



[10]
This record from the Alexandria database describes a relaxed structure of Pm4Y5Th. The functional is PBE-GGA.

Unit cell a=3.6098 b=3.6098 c=25.4447 alpha=90.00 beta=90.00 gamma=90.00
Atoms (fractional coordinates):
Pm 0.0000 0.0000 0.1002
Pm 0.0000 0.0000 0.3011
Pm 0.0000 0.0000 0.6989
Pm 0.0000 0.0000 0.8998
Y 0.5000 0.5000 0.0000
Y 0.5000 0.5000 0.2008
Y 0.5000 0.5000 0.4040
Y 0.5000 0.5000 0.5960
Y 0.5000 0.5000 0.7992
Th 0.0000 0.0000 0.5000

Fermi-level density of states, states/eV per cell: 13.39
Size of the total moment, μB per cell: 0.00
Total DFT energy (no corrections), eV per atom: -5.858
Theoretical density, g/cm3: 6.3
SG: P4/mmm, No. 123



[11]
This record from the Alexandria database describes a relaxed structure of Pm3Y2Th4. The functional is PBE-GGA.

Unit cell a=8.0388 b=8.0388 c=8.0847 alpha=107.67 beta=107.67 gamma=36.93
Atoms (fractional coordinates):
Pm 0.0000 0.0000 0.0000
Pm 0.1169 0.1169 0.6703
Pm 0.8831 0.8831 0.3297
Y 0.4398 0.4398 0.6681
Y 0.5602 0.5602 0.3319
Th 0.2236 0.2236 0.3320
Th 0.3305 0.3305 0.9967
Th 0.6695 0.6695 0.0033
Th 0.7764 0.7764 0.6680

Fermi-level density of states, states/eV per cell: 13.59
Size of the total moment, μB per cell: 0.00
Total DFT energy (no corrections), eV per atom: -6.271
Theoretical density, g/cm3: 8.6
SG: C2/m, No. 12



[12]
This record from the Alexandria database describes a relaxed structure of Pm6Y8Th. The functional is PBE-GGA.

Unit cell a=8.7616 b=8.7616 c=8.7616 alpha=62.83 beta=62.83 gamma=62.83
Atoms (fractional coordinates):
Pm 0.0375 0.6007 0.7312
Pm 0.2688 0.9625 0.3993
Pm 0.3993 0.2688 0.9625
Pm 0.6007 0.7312 0.0375
Pm 0.7312 0.0375 0.6007
Pm 0.9625 0.3993 0.2688
Y 0.0776 0.0776 0.0776
Y 0.2144 0.6131 0.2572
Y 0.2572 0.2144 0.6131
Y 0.3869 0.7428 0.7857
Y 0.6131 0.2572 0.2143
Y 0.7428 0.7857 0.3869
Y 0.7857 0.3869 0.7428
Y 0.9224 0.9224 0.9224
Th 0.5000 0.5000 0.5000

Fermi-level density of states, states/eV per cell: 24.23
Size of the total moment, μB per cell: 0.00
Total DFT energy (no corrections), eV per atom: -5.724
Theoretical density, g/cm3: 6.0
SG: R-3, No. 148